No. 1
Below is a relaxed structure of NbNiIr, with properties calculated at the PBE level.

Output
E_form = -0.281 eV per atom
VASP energy = -51.1 eV for the cell shown
space-group type = No. 25
crystal system = orthorhombic

Lattice parameters (Å, degrees): 2.795 4.193 7.495 90.00 90.00 90.00
Fractional coordinates of all 6 atoms:
Nb: 0.000 0.000 0.000
Nb: 0.000 0.500 0.463
Ni: 0.000 0.000 0.654
Ni: 0.500 0.000 0.359
Ir: 0.500 0.500 0.150
Ir: 0.500 0.500 0.785

---

No. 2
Below is a relaxed structure of NbNiIr, with properties calculated at the PBE level.

Output
E_form = -0.375 eV per atom
VASP energy = -51.7 eV for the cell shown
space-group type = No. 11
crystal system = monoclinic

Lattice parameters (Å, degrees): 4.670 4.510 4.730 90.00 117.52 90.00
Fractional coordinates of all 6 atoms:
Nb: 0.008 0.250 0.221
Nb: 0.992 0.750 0.779
Ni: 0.357 0.750 0.498
Ni: 0.643 0.250 0.502
Ir: 0.324 0.250 0.845
Ir: 0.676 0.750 0.155

---

No. 3
Below is a relaxed structure of NbNiIr3, with properties calculated at the PBE level.

Output
E_form = 1.142 eV per atom
VASP energy = -36.7 eV for the cell shown
space-group type = No. 221
crystal system = cubic

Lattice parameters (Å, degrees): 4.414 4.414 4.414 90.00 90.00 90.00
Fractional coordinates of all 5 atoms:
Nb: 0.000 0.000 0.000
Ni: 0.500 0.500 0.500
Ir: 0.000 0.500 0.500
Ir: 0.500 0.000 0.500
Ir: 0.500 0.500 0.000

---

No. 4
Below is a relaxed structure of Nb2Ni3Ir3, with properties calculated at the PBE level.

Output
E_form = -0.416 eV per atom
VASP energy = -67.4 eV for the cell shown
space-group type = No. 47
crystal system = orthorhombic

Lattice parameters (Å, degrees): 3.759 3.858 7.702 90.00 90.00 90.00
Fractional coordinates of all 8 atoms:
Nb: 0.000 0.000 0.246
Nb: 0.000 0.000 0.754
Ni: 0.000 0.500 0.000
Ni: 0.000 0.500 0.500
Ni: 0.500 0.000 0.000
Ir: 0.500 0.000 0.500
Ir: 0.500 0.500 0.242
Ir: 0.500 0.500 0.758

---

No. 5
Below is a relaxed structure of Nb2Ni2Ir, with properties calculated at the PBE level.

Output
E_form = 0.061 eV per atom
VASP energy = -80.5 eV for the cell shown
space-group type = No. 65
crystal system = orthorhombic

Lattice parameters (Å, degrees): 4.442 6.027 5.849 90.00 90.00 90.00
Fractional coordinates of all 10 atoms:
Nb: 0.000 0.000 0.241
Nb: 0.000 0.000 0.759
Nb: 0.500 0.500 0.241
Nb: 0.500 0.500 0.759
Ni: 0.000 0.316 0.500
Ni: 0.000 0.684 0.500
Ni: 0.500 0.184 0.500
Ni: 0.500 0.816 0.500
Ir: 0.000 0.500 0.000
Ir: 0.500 0.000 0.000

---

No. 6
Below is a relaxed structure of NbNiIr, with properties calculated at the PBE level.

Output
E_form = -0.221 eV per atom
VASP energy = -25.4 eV for the cell shown
space-group type = No. 187
crystal system = hexagonal

Lattice parameters (Å, degrees): 4.284 4.284 2.787 90.00 90.00 120.00
Fractional coordinates of all 3 atoms:
Nb: 0.000 0.000 0.000
Ni: 0.333 0.667 0.500
Ir: 0.667 0.333 0.500

---

No. 7
Below is a relaxed structure of NbNiIr, with properties calculated at the PBE level.

Output
E_form = -0.383 eV per atom
VASP energy = -103.4 eV for the cell shown
space-group type = No. 8
crystal system = monoclinic

Lattice parameters (Å, degrees): 8.602 3.863 5.493 90.00 106.88 90.00
Fractional coordinates of all 12 atoms:
Nb: 0.000 0.000 0.000
Nb: 0.194 0.500 0.395
Nb: 0.500 0.500 0.000
Nb: 0.694 0.000 0.395
Ni: 0.017 0.000 0.530
Ni: 0.349 0.000 0.693
Ni: 0.517 0.500 0.530
Ni: 0.849 0.500 0.693
Ir: 0.177 0.500 0.865
Ir: 0.351 0.000 0.207
Ir: 0.677 0.000 0.865
Ir: 0.851 0.500 0.207

---

No. 8
Below is a relaxed structure of NbNiIr3, with properties calculated at the PBE level.

Output
E_form = 1.827 eV per atom
VASP energy = -33.3 eV for the cell shown
space-group type = No. 221
crystal system = cubic

Lattice parameters (Å, degrees): 4.744 4.744 4.744 90.00 90.00 90.00
Fractional coordinates of all 5 atoms:
Nb: 0.000 0.000 0.000
Ni: 0.500 0.500 0.500
Ir: 0.000 0.000 0.500
Ir: 0.000 0.500 0.000
Ir: 0.500 0.000 0.000